{"formula": "LiMnBr", "functional": "PBE-GGA", "state": "relaxed", "formation_energy_uncorrected_mev_per_atom": 345, "dos_at_fermi_per_ev_cell": 3.1, "lattice": [[4.5229, 0.0000, 0.0000], [2.2614, 3.9169, 0.0000], [2.2614, 1.3056, 3.6929]], "species": ["Br", "Li", "Mn"], "fractional_positions": [[0.0000, 0.0000, 0.0000], [0.5000, 0.5000, 0.5000], [0.7500, 0.7500, 0.7500]]}